A relaxed structure of CePrC, computed with GGA-PBE.

The value obtained for the relative energy among the computed polymorphs is 0 meV per atom. The formation energy is -0.097 eV per atom. As for the total DFT energy (no corrections): -6.7423 eV per atom.

Cell: 3.6236 3.6236 6.5981 Å, 90.00 90.00 120.00°
Space group P3m1 (No. 156)
Unique sites:
Ce1 0.0000 0.0000 0.0000 [1 per cell]
Pr1 0.3333 0.6667 0.4324 [1 per cell]
C1 0.6667 0.3333 0.1922 [1 per cell]